(1)
Here is a relaxed structure of CeSmY2Er from Alexandria. Energies are from PBE.

Output
- space-group type = No. 13
- ΔE_f (eV/f.u.) = 1.46

Cell: 7.835 7.128 5.916 Å, 90.00 90.08 90.00°
Atoms (fractional coordinates):
Ce 0.000 0.000 0.000
Ce 0.000 0.000 0.500
Sm 0.500 0.161 0.250
Sm 0.500 0.839 0.750
Y 0.293 0.320 0.749
Y 0.293 0.680 0.249
Y 0.707 0.320 0.751
Y 0.707 0.680 0.251
Er 0.000 0.391 0.250
Er 0.000 0.609 0.750

---

(2)
Here is a relaxed structure of CeSm6Y2Er from Alexandria. Energies are from PBE.

Output
- space-group type = No. 12
- ΔE_f (eV/f.u.) = 2.48

Cell: 6.691 6.691 8.837 Å, 102.79 102.79 62.57°
Atoms (fractional coordinates):
Ce 0.000 0.000 0.000
Sm 0.094 0.566 0.202
Sm 0.126 0.126 0.417
Sm 0.434 0.906 0.798
Sm 0.566 0.094 0.202
Sm 0.874 0.874 0.583
Sm 0.906 0.434 0.798
Y 0.408 0.408 0.830
Y 0.592 0.592 0.170
Er 0.500 0.500 0.500

---

(3)
Here is a relaxed structure of CeSm2YEr from Alexandria. Energies are from PBE.

Output
- space-group type = No. 13
- ΔE_f (eV/f.u.) = 1.45

Cell: 6.648 8.226 6.109 Å, 90.00 90.09 90.00°
Atoms (fractional coordinates):
Ce 0.000 0.000 0.000
Ce 0.000 0.000 0.500
Sm 0.263 0.307 0.251
Sm 0.263 0.693 0.751
Sm 0.737 0.307 0.249
Sm 0.737 0.693 0.749
Y 0.000 0.355 0.750
Y 0.000 0.645 0.250
Er 0.500 0.122 0.750
Er 0.500 0.878 0.250

---

(4)
Here is a relaxed structure of CeSm2Y5Er from Alexandria. Energies are from PBE.

Output
- space-group type = No. 140
- ΔE_f (eV/f.u.) = 2.39

Cell: 9.922 9.922 9.922 Å, 128.72 128.72 75.46°
Atoms (fractional coordinates):
Ce 0.250 0.750 0.500
Ce 0.750 0.250 0.500
Sm 0.121 0.621 0.741
Sm 0.379 0.121 0.500
Sm 0.621 0.879 0.500
Sm 0.879 0.379 0.259
Y 0.000 0.000 0.000
Y 0.061 0.158 0.500
Y 0.158 0.658 0.097
Y 0.342 0.439 0.500
Y 0.439 0.939 0.097
Y 0.500 0.500 0.000
Y 0.561 0.061 0.903
Y 0.658 0.561 0.500
Y 0.842 0.342 0.903
Y 0.939 0.842 0.500
Er 0.250 0.250 0.000
Er 0.750 0.750 0.000

---

(5)
Here is a relaxed structure of CeErSn from Alexandria. Energies are from PBE.

Output
- space-group type = No. 156
- polymorph energy (0 for the lowest one) (eV per atom) = 0.285
- ΔE_f (eV/f.u.) = -0.86

Cell: 5.219 5.219 3.663 Å, 90.00 90.00 120.00°
Atoms (fractional coordinates):
Ce 0.000 0.000 0.000
Er 0.333 0.667 0.441
Sn 0.667 0.333 0.639

---

(6)
Here is a relaxed structure of Ce3ErSn5 from Alexandria. Energies are from PBE.

Output
- space-group type = No. 193
- ΔE_f (eV/f.u.) = -5.59

Cell: 9.413 9.413 6.455 Å, 90.00 90.00 120.00°
Atoms (fractional coordinates):
Ce 0.000 0.383 0.250
Ce 0.000 0.617 0.750
Ce 0.383 0.000 0.250
Ce 0.383 0.383 0.750
Ce 0.617 0.000 0.750
Ce 0.617 0.617 0.250
Er 0.000 0.000 0.000
Er 0.000 0.000 0.500
Sn 0.000 0.282 0.750
Sn 0.000 0.718 0.250
Sn 0.282 0.000 0.750
Sn 0.282 0.282 0.250
Sn 0.333 0.667 0.000
Sn 0.333 0.667 0.500
Sn 0.667 0.333 0.000
Sn 0.667 0.333 0.500
Sn 0.718 0.000 0.250
Sn 0.718 0.718 0.750

---

(7)
Here is a relaxed structure of CeEr3Sn3 from Alexandria. Energies are from PBE.

Output
- space-group type = No. 176
- ΔE_f (eV/f.u.) = -3.56

Cell: 9.132 9.132 5.388 Å, 90.00 90.00 120.00°
Atoms (fractional coordinates):
Ce 0.333 0.667 0.250
Ce 0.667 0.333 0.750
Er 0.006 0.239 0.250
Er 0.233 0.994 0.250
Er 0.239 0.233 0.750
Er 0.761 0.767 0.250
Er 0.767 0.006 0.750
Er 0.994 0.761 0.750
Sn 0.073 0.447 0.750
Sn 0.374 0.927 0.750
Sn 0.447 0.374 0.250
Sn 0.553 0.626 0.750
Sn 0.626 0.073 0.250
Sn 0.927 0.553 0.250

---

(8)
Here is a relaxed structure of CeEr2Sn from Alexandria. Energies are from PBE.

Output
- space-group type = No. 166
- polymorph energy (0 for the lowest one) (eV per atom) = 0.445
- ΔE_f (eV/f.u.) = 0.24

Cell: 11.944 11.944 11.944 Å, 16.63 16.63 16.63°
Atoms (fractional coordinates):
Ce 0.000 0.000 0.000
Er 0.412 0.412 0.412
Er 0.588 0.588 0.588
Sn 0.500 0.500 0.500

---

(9)
Here is a relaxed structure of CeEr2Sn from Alexandria. Energies are from PBE.

Output
- space-group type = No. 225
- polymorph energy (0 for the lowest one) (eV per atom) = 0.210
- ΔE_f (eV/f.u.) = -0.69

Cell: 5.341 5.341 5.341 Å, 60.00 60.00 60.00°
Atoms (fractional coordinates):
Ce 0.000 0.000 0.000
Er 0.250 0.250 0.250
Er 0.750 0.750 0.750
Sn 0.500 0.500 0.500

---

(10)
Here is a relaxed structure of CeErSn from Alexandria. Energies are from PBE.

Output
- space-group type = No. 70
- polymorph energy (0 for the lowest one) (eV per atom) = 0.588
- ΔE_f (eV/f.u.) = 0.04

Cell: 11.872 10.261 7.207 Å, 83.68 59.21 37.11°
Atoms (fractional coordinates):
Ce 0.109 0.641 0.641
Ce 0.359 0.891 0.891
Ce 0.641 0.109 0.109
Ce 0.891 0.359 0.359
Er 0.074 0.074 0.676
Er 0.324 0.324 0.926
Er 0.676 0.676 0.074
Er 0.926 0.926 0.324
Sn 0.000 0.500 0.500
Sn 0.500 0.000 0.500
Sn 0.500 0.500 0.000
Sn 0.500 0.500 0.500

---

(11)
Here is a relaxed structure of CeErSn from Alexandria. Energies are from PBE.

Output
- space-group type = No. 107
- polymorph energy (0 for the lowest one) (eV per atom) = 0.242
- ΔE_f (eV/f.u.) = -0.99

Cell: 7.544 7.544 7.544 Å, 153.35 153.35 38.05°
Atoms (fractional coordinates):
Ce 0.000 0.000 0.000
Er 0.308 0.308 0.000
Sn 0.658 0.658 0.000

---

(12)
Here is a relaxed structure of CeEr2Sn from Alexandria. Energies are from PBE.

Output
- space-group type = No. 123
- polymorph energy (0 for the lowest one) (eV per atom) = 0.131
- ΔE_f (eV/f.u.) = -1.01

Cell: 3.837 3.837 7.616 Å, 90.00 90.00 90.00°
Atoms (fractional coordinates):
Ce 0.000 0.000 0.000
Er 0.500 0.500 0.276
Er 0.500 0.500 0.724
Sn 0.000 0.000 0.500